*P*
# GGA-PBE ThReHg, relaxed
# Calculated volume ... 25.519 Å³ per atom
data_ThReHg
_chemical_formula_sum 'Th4 Re4 Hg4'
_cell_length_a 7.988
_cell_length_b 4.642
_cell_length_c 8.675
_cell_angle_alpha 90.00
_cell_angle_beta 107.81
_cell_angle_gamma 90.00
_symmetry_space_group_name_H-M 'C 1 2/m 1'
_symmetry_Int_Tables_number 12
loop_
_symmetry_equiv_pos_as_xyz
'x,y,z'
'-x,-y,-z'
'-x,y,-z'
'x,-y,z'
'x+1/2,y+1/2,z'
'-x+1/2,-y+1/2,-z'
'-x+1/2,y+1/2,-z'
'x+1/2,-y+1/2,z'
loop_
_atom_site_label
_atom_site_type_symbol
_atom_site_fract_x
_atom_site_fract_y
_atom_site_fract_z
_atom_site_occupancy
Th1 Th 0.224 0.000 0.163 1
Re1 Re 0.162 0.500 0.489 1
Hg1 Hg 0.058 0.000 0.676 1

=====

*Q*
# GGA-PBE ThReHg, relaxed
# Calculated volume ... 25.055 Å³ per atom
data_ThReHg
_chemical_formula_sum 'Th4 Re4 Hg4'
_cell_length_a 4.165
_cell_length_b 17.300
_cell_length_c 4.173
_cell_angle_alpha 90.00
_cell_angle_beta 90.00
_cell_angle_gamma 90.00
_symmetry_space_group_name_H-M 'C m c m'
_symmetry_Int_Tables_number 63
_symmetry_space_group_name_Hall '-C 2c 2'
loop_
_atom_site_label
_atom_site_type_symbol
_atom_site_fract_x
_atom_site_fract_y
_atom_site_fract_z
_atom_site_occupancy
Th1 Th 0.000 0.100 0.250 1
Re1 Re 0.000 0.463 0.250 1
Hg1 Hg 0.000 0.294 0.250 1

=====

In order of decreasing stability: *Q*, *P*.

=====

*P*
# GGA-PBE Ti3ReHg, relaxed
# Calculated volume ... 21.783 Å³ per atom
data_Ti3ReHg
_chemical_formula_sum 'Ti3 Re1 Hg1'
_cell_length_a 4.776
_cell_length_b 4.776
_cell_length_c 4.776
_cell_angle_alpha 90.00
_cell_angle_beta 90.00
_cell_angle_gamma 90.00
_symmetry_space_group_name_H-M 'P m -3 m'
_symmetry_Int_Tables_number 221
_symmetry_space_group_name_Hall '-P 4 2 3'
loop_
_atom_site_label
_atom_site_type_symbol
_atom_site_fract_x
_atom_site_fract_y
_atom_site_fract_z
_atom_site_occupancy
Ti1 Ti 0.000 0.000 0.500 1
Re1 Re 0.000 0.000 0.000 1
Hg1 Hg 0.500 0.500 0.500 1

=====

*Q*
# GGA-PBE Ti3ReHg, relaxed
# Calculated volume ... 22.657 Å³ per atom
data_Ti3ReHg
_chemical_formula_sum 'Ti3 Re1 Hg1'
_cell_length_a 4.839
_cell_length_b 4.839
_cell_length_c 4.839
_cell_angle_alpha 90.00
_cell_angle_beta 90.00
_cell_angle_gamma 90.00
_symmetry_space_group_name_H-M 'P m -3 m'
_symmetry_Int_Tables_number 221
_symmetry_space_group_name_Hall '-P 4 2 3'
loop_
_atom_site_label
_atom_site_type_symbol
_atom_site_fract_x
_atom_site_fract_y
_atom_site_fract_z
_atom_site_occupancy
Ti1 Ti 0.000 0.000 0.500 1
Re1 Re 0.500 0.500 0.500 1
Hg1 Hg 0.000 0.000 0.000 1

=====

In order of decreasing stability: *P*, *Q*.

=====

*P*
# GGA-PBE TlRe3Hg, relaxed
# Calculated volume ... 24.689 Å³ per atom
data_TlRe3Hg
_chemical_formula_sum 'Tl1 Re3 Hg1'
_cell_length_a 4.979
_cell_length_b 4.979
_cell_length_c 4.979
_cell_angle_alpha 90.00
_cell_angle_beta 90.00
_cell_angle_gamma 90.00
_symmetry_space_group_name_H-M 'P m -3 m'
_symmetry_Int_Tables_number 221
_symmetry_space_group_name_Hall '-P 4 2 3'
loop_
_atom_site_label
_atom_site_type_symbol
_atom_site_fract_x
_atom_site_fract_y
_atom_site_fract_z
_atom_site_occupancy
Tl1 Tl 0.000 0.000 0.000 1
Re1 Re 0.000 0.000 0.500 1
Hg1 Hg 0.500 0.500 0.500 1

=====

*Q*
# GGA-PBE TlRe3Hg, relaxed
# Calculated volume ... 24.535 Å³ per atom
data_TlRe3Hg
_chemical_formula_sum 'Tl1 Re3 Hg1'
_cell_length_a 4.969
_cell_length_b 4.969
_cell_length_c 4.969
_cell_angle_alpha 90.00
_cell_angle_beta 90.00
_cell_angle_gamma 90.00
_symmetry_space_group_name_H-M 'P m -3 m'
_symmetry_Int_Tables_number 221
_symmetry_space_group_name_Hall '-P 4 2 3'
loop_
_atom_site_label
_atom_site_type_symbol
_atom_site_fract_x
_atom_site_fract_y
_atom_site_fract_z
_atom_site_occupancy
Tl1 Tl 0.000 0.000 0.000 1
Re1 Re 0.000 0.500 0.500 1
Hg1 Hg 0.500 0.500 0.500 1

=====

In order of decreasing stability: *Q*, *P*.

=====

*P*
# GGA-PBE TlReHg, relaxed
# Calculated volume ... 22.311 Å³ per atom
data_TlReHg
_chemical_formula_sum 'Tl4 Re4 Hg4'
_cell_length_a 2.925
_cell_length_b 5.064
_cell_length_c 18.077
_cell_angle_alpha 90.00
_cell_angle_beta 90.00
_cell_angle_gamma 90.00
_symmetry_space_group_name_H-M 'F m m 2'
_symmetry_Int_Tables_number 42
_symmetry_space_group_name_Hall 'F 2 -2'
loop_
_atom_site_label
_atom_site_type_symbol
_atom_site_fract_x
_atom_site_fract_y
_atom_site_fract_z
_atom_site_occupancy
Tl1 Tl 0.000 0.000 0.000 1
Re1 Re 0.000 0.000 0.649 1
Hg1 Hg 0.000 0.000 0.293 1

=====

*Q*
# GGA-PBE TlReHg, relaxed
# Calculated volume ... 24.055 Å³ per atom
data_TlReHg
_chemical_formula_sum 'Tl4 Re4 Hg4'
_cell_length_a 6.609
_cell_length_b 6.609
_cell_length_c 6.609
_cell_angle_alpha 90.00
_cell_angle_beta 90.00
_cell_angle_gamma 90.00
_symmetry_space_group_name_H-M 'F -4 3 m'
_symmetry_Int_Tables_number 216
_symmetry_space_group_name_Hall 'F -4 2 3'
loop_
_atom_site_label
_atom_site_type_symbol
_atom_site_fract_x
_atom_site_fract_y
_atom_site_fract_z
_atom_site_occupancy
Tl1 Tl 0.000 0.000 0.000 1
Re1 Re 0.250 0.250 0.750 1
Hg1 Hg 0.000 0.000 0.500 1

=====

In order of decreasing stability: *P*, *Q*.

=====

*P*
# GGA-PBE VReHg2, relaxed
# Calculated volume ... 19.679 Å³ per atom
data_VReHg2
_chemical_formula_sum 'V4 Re4 Hg8'
_cell_length_a 7.568
_cell_length_b 7.568
_cell_length_c 5.498
_cell_angle_alpha 90.00
_cell_angle_beta 90.00
_cell_angle_gamma 90.00
_symmetry_space_group_name_H-M 'I -4 2 d'
_symmetry_Int_Tables_number 122
_symmetry_space_group_name_Hall 'I -4 2bw'
loop_
_atom_site_label
_atom_site_type_symbol
_atom_site_fract_x
_atom_site_fract_y
_atom_site_fract_z
_atom_site_occupancy
V1 V 0.000 0.000 0.000 1
Re1 Re 0.000 0.000 0.500 1
Hg1 Hg 0.250 0.250 0.375 1

=====

*Q*
# GGA-PBE VReHg2, relaxed
# Calculated volume ... 17.734 Å³ per atom
data_VReHg2
_chemical_formula_sum 'V4 Re4 Hg8'
_cell_length_a 6.571
_cell_length_b 6.571
_cell_length_c 6.571
_cell_angle_alpha 90.00
_cell_angle_beta 90.00
_cell_angle_gamma 90.00
_symmetry_space_group_name_H-M 'F m -3 m'
_symmetry_Int_Tables_number 225
_symmetry_space_group_name_Hall '-F 4 2 3'
loop_
_atom_site_label
_atom_site_type_symbol
_atom_site_fract_x
_atom_site_fract_y
_atom_site_fract_z
_atom_site_occupancy
V1 V 0.000 0.000 0.000 1
Re1 Re 0.000 0.000 0.500 1
Hg1 Hg 0.250 0.250 0.250 1

=====

In order of decreasing stability: *Q*, *P*.

=====

*P*
# GGA-PBE V3ReHg, relaxed
# Calculated volume ... 19.562 Å³ per atom
data_V3ReHg
_chemical_formula_sum 'V3 Re1 Hg1'
_cell_length_a 4.607
_cell_length_b 4.607
_cell_length_c 4.607
_cell_angle_alpha 90.00
_cell_angle_beta 90.00
_cell_angle_gamma 90.00
_symmetry_space_group_name_H-M 'P m -3 m'
_symmetry_Int_Tables_number 221
_symmetry_space_group_name_Hall '-P 4 2 3'
loop_
_atom_site_label
_atom_site_type_symbol
_atom_site_fract_x
_atom_site_fract_y
_atom_site_fract_z
_atom_site_occupancy
V1 V 0.000 0.000 0.500 1
Re1 Re 0.000 0.000 0.000 1
Hg1 Hg 0.500 0.500 0.500 1

=====

*Q*
# GGA-PBE V3ReHg, relaxed
# Calculated volume ... 22.806 Å³ per atom
data_V3ReHg
_chemical_formula_sum 'V3 Re1 Hg1'
_cell_length_a 4.849
_cell_length_b 4.849
_cell_length_c 4.849
_cell_angle_alpha 90.00
_cell_angle_beta 90.00
_cell_angle_gamma 90.00
_symmetry_space_group_name_H-M 'P m -3 m'
_symmetry_Int_Tables_number 221
_symmetry_space_group_name_Hall '-P 4 2 3'
loop_
_atom_site_label
_atom_site_type_symbol
_atom_site_fract_x
_atom_site_fract_y
_atom_site_fract_z
_atom_site_occupancy
V1 V 0.000 0.000 0.500 1
Re1 Re 0.500 0.500 0.500 1
Hg1 Hg 0.000 0.000 0.000 1

=====

In order of decreasing stability: *P*, *Q*.

=====

*P*
# GGA-PBE Re3HgW, relaxed
# Calculated volume ... 21.668 Å³ per atom
data_Re3HgW
_chemical_formula_sum 'Re3 Hg1 W1'
_cell_length_a 4.767
_cell_length_b 4.767
_cell_length_c 4.767
_cell_angle_alpha 90.00
_cell_angle_beta 90.00
_cell_angle_gamma 90.00
_symmetry_space_group_name_H-M 'P m -3 m'
_symmetry_Int_Tables_number 221
_symmetry_space_group_name_Hall '-P 4 2 3'
loop_
_atom_site_label
_atom_site_type_symbol
_atom_site_fract_x
_atom_site_fract_y
_atom_site_fract_z
_atom_site_occupancy
Re1 Re 0.000 0.000 0.500 1
Hg1 Hg 0.500 0.500 0.500 1
W1 W 0.000 0.000 0.000 1

=====

*Q*
# GGA-PBE Re3HgW, relaxed
# Calculated volume ... 21.585 Å³ per atom
data_Re3HgW
_chemical_formula_sum 'Re3 Hg1 W1'
_cell_length_a 4.761
_cell_length_b 4.761
_cell_length_c 4.761
_cell_angle_alpha 90.00
_cell_angle_beta 90.00
_cell_angle_gamma 90.00
_symmetry_space_group_name_H-M 'P m -3 m'
_symmetry_Int_Tables_number 221
_symmetry_space_group_name_Hall '-P 4 2 3'
loop_
_atom_site_label
_atom_site_type_symbol
_atom_site_fract_x
_atom_site_fract_y
_atom_site_fract_z
_atom_site_occupancy
Re1 Re 0.000 0.000 0.500 1
Hg1 Hg 0.000 0.000 0.000 1
W1 W 0.500 0.500 0.500 1

=====

In order of decreasing stability: *P*, *Q*.

=====

*P*
# GGA-PBE ReHgW3, relaxed
# Calculated volume ... 21.857 Å³ per atom
data_ReHgW3
_chemical_formula_sum 'Re1 Hg1 W3'
_cell_length_a 4.781
_cell_length_b 4.781
_cell_length_c 4.781
_cell_angle_alpha 90.00
_cell_angle_beta 90.00
_cell_angle_gamma 90.00
_symmetry_space_group_name_H-M 'P m -3 m'
_symmetry_Int_Tables_number 221
_symmetry_space_group_name_Hall '-P 4 2 3'
loop_
_atom_site_label
_atom_site_type_symbol
_atom_site_fract_x
_atom_site_fract_y
_atom_site_fract_z
_atom_site_occupancy
Re1 Re 0.000 0.000 0.000 1
Hg1 Hg 0.500 0.500 0.500 1
W1 W 0.000 0.000 0.500 1

=====

*Q*
# GGA-PBE ReHgW3, relaxed
# Calculated volume ... 22.184 Å³ per atom
data_ReHgW3
_chemical_formula_sum 'Re1 Hg1 W3'
_cell_length_a 4.805
_cell_length_b 4.805
_cell_length_c 4.805
_cell_angle_alpha 90.00
_cell_angle_beta 90.00
_cell_angle_gamma 90.00
_symmetry_space_group_name_H-M 'P m -3 m'
_symmetry_Int_Tables_number 221
_symmetry_space_group_name_Hall '-P 4 2 3'
loop_
_atom_site_label
_atom_site_type_symbol
_atom_site_fract_x
_atom_site_fract_y
_atom_site_fract_z
_atom_site_occupancy
Re1 Re 0.000 0.000 0.000 1
Hg1 Hg 0.500 0.500 0.500 1
W1 W 0.000 0.500 0.500 1

=====

In order of decreasing stability: *P*, *Q*.